(1)
Entry from the Alexandria database: a relaxed structure of K2UCl5 (PBEsol).

Structure (POSCAR):
```
K2UCl5
1.0
7.953 0.000 0.000
0.000 8.480 0.000
0.000 0.000 12.734
K U Cl
8 4 20
Direct
0.047 0.996 0.828 K
0.547 0.004 0.672 K
0.953 0.496 0.172 K
0.453 0.504 0.328 K
0.953 0.004 0.172 K
0.453 0.996 0.328 K
0.047 0.504 0.828 K
0.547 0.496 0.672 K
0.430 0.250 0.003 U
0.930 0.750 0.497 U
0.570 0.750 0.997 U
0.070 0.250 0.503 U
0.663 0.044 0.917 Cl
0.163 0.956 0.583 Cl
0.337 0.544 0.083 Cl
0.837 0.456 0.417 Cl
0.337 0.956 0.083 Cl
0.837 0.044 0.417 Cl
0.663 0.456 0.917 Cl
0.163 0.544 0.583 Cl
0.632 0.250 0.178 Cl
0.132 0.750 0.322 Cl
0.368 0.750 0.822 Cl
0.868 0.250 0.678 Cl
0.920 0.750 0.993 Cl
0.420 0.250 0.507 Cl
0.080 0.250 0.007 Cl
0.580 0.750 0.493 Cl
0.331 0.250 0.795 Cl
0.831 0.750 0.705 Cl
0.669 0.750 0.205 Cl
0.169 0.250 0.295 Cl
```

- spin magnetization (μB/f.u.) = 3.00
- ΔE_f (raw) (eV/atom) = -1.77
- final energy (eV per atom) = -4.82

***

(2)
Entry from the Alexandria database: a relaxed structure of Tl2ReTcO (PBEsol).

Structure (POSCAR):
```
Tl2ReTcO
1.0
3.625 0.000 0.000
0.000 5.383 0.000
0.000 0.000 5.383
Re Tl Tc O
1 2 1 1
Direct
0.000 0.000 0.000 Re
0.000 0.000 0.500 Tl
0.000 0.500 0.000 Tl
0.500 0.500 0.500 Tc
0.500 0.000 0.000 O
```

- spin magnetization (μB/f.u.) = 2.97
- ΔE_f (raw) (eV/atom) = 0.81
- final energy (eV per atom) = -6.21

***

(3)
Entry from the Alexandria database: a relaxed structure of SrLi2Ca2 (PBEsol).

Structure (POSCAR):
```
SrLi2Ca2
1.0
3.901 0.000 0.000
0.000 3.901 0.000
-1.950 -1.950 11.607
Sr Ca Li
1 2 2
Direct
0.000 0.000 0.000 Sr
0.370 0.370 0.741 Ca
0.630 0.630 0.259 Ca
0.250 0.750 0.500 Li
0.750 0.250 0.500 Li
```

- formation energy from the elements (meV/atom) = 81.9
- spin magnetization (μB/f.u.) = 0.00
- distance to the lowest polymorph of the same formula (eV/f.u.) = 0.31
- final energy (eV per atom) = -1.93